Version P
First-principles (PBE) data for an optimized crystal structure of LaSm3In2, as listed in the Alexandria database.

Magnetic moment (μB/atom): 0.000

Cell and atoms, written as CIF:
```
data_LaSm3In2
_chemical_formula_sum 'La2 Sm6 In4'
_space_group_name_H-M_alt 'P m c 21'
_space_group_IT_number 26
_cell_length_a 5.3624
_cell_length_b 10.0995
_cell_length_c 6.8543
_cell_angle_alpha 90.00
_cell_angle_beta 90.00
_cell_angle_gamma 90.00
loop_
_space_group_symop_operation_xyz
'x,y,z'
'-x,-y,z+1/2'
'-x,y,z'
'x,-y,z+1/2'
loop_
_atom_site_label
_atom_site_fract_x
_atom_site_fract_y
_atom_site_fract_z
_atom_site_occupancy
La1 0.0000 0.0387 0.0000 1
Sm1 0.0000 0.3249 0.6584 1
Sm2 0.5000 0.1815 0.2721 1
Sm3 0.5000 0.4596 0.9356 1
In1 0.0000 0.3573 0.1819 1
In2 0.5000 0.1481 0.7466 1
```

***

Version Q
First-principles (PBE) data for an optimized crystal structure of LaSm3In2, as listed in the Alexandria database.

Magnetic moment (μB/atom): 0.000

Cell and atoms, written as CIF:
```
data_LaSm3In2
_chemical_formula_sum 'La4 Sm12 In8'
_space_group_name_H-M_alt 'C 1 2/m 1'
_space_group_IT_number 12
_cell_length_a 16.7008
_cell_length_b 5.4913
_cell_length_c 9.3709
_cell_angle_alpha 90.00
_cell_angle_beta 118.96
_cell_angle_gamma 90.00
loop_
_space_group_symop_operation_xyz
'x,y,z'
'-x,-y,-z'
'-x,y,-z'
'x,-y,z'
'x+1/2,y+1/2,z'
'-x+1/2,-y+1/2,-z'
'-x+1/2,y+1/2,-z'
'x+1/2,-y+1/2,z'
loop_
_atom_site_label
_atom_site_fract_x
_atom_site_fract_y
_atom_site_fract_z
_atom_site_occupancy
La1 0.1305 0.0000 0.1726 1
Sm1 0.0601 0.0000 0.7140 1
Sm2 0.1173 0.5000 0.5435 1
Sm3 0.1944 0.5000 0.9990 1
In1 0.0172 0.5000 0.1665 1
In2 0.2273 0.0000 0.5923 1
```

***

Short version: version P, version Q, most stable first.